Material: Tm2Ga10Os3
Method: DFT, PBE-GGA
State: relaxed

Its total energy is -0.388 Ry/atom. The value obtained for the formation energy from the elements is -0.414 eV/atom. The calculation puts the magnetization at 0.000 μB per formula unit.

Unit cell a=8.901 b=8.901 c=6.359 alpha=90.00 beta=90.00 gamma=90.00
Space group P4/mbm (No. 127)
Asymmetric unit:
1 Tm 0.183 0.317 0.000 (multiplicity 4)
2 Ga 0.000 0.500 0.282 (multiplicity 4)
3 Ga 0.061 0.793 0.292 (multiplicity 16)
4 Os 0.000 0.000 0.000 (multiplicity 2)
5 Os 0.178 0.322 0.500 (multiplicity 4)

Material: TmGa6Os
Method: DFT, PBE-GGA
State: relaxed

Its total energy is -0.313 Ry/atom. The value obtained for the formation energy from the elements is -0.022 eV/atom. The calculation puts the magnetization at 0.000 μB per formula unit.

Unit cell a=5.7430 b=5.7430 c=18.1153 alpha=90.00 beta=90.00 gamma=120.00
Space group R-3m (No. 166, hexagonal axes)
Asymmetric unit:
1 Tm 0.0000 0.0000 0.0000 (multiplicity 3)
2 Ga 0.0210 0.5105 0.9271 (multiplicity 18)
3 Os 0.0000 0.0000 0.5000 (multiplicity 3)

Material: Tm2Ga3Os
Method: DFT, PBE-GGA
State: relaxed

Its total energy is -0.396 Ry/atom. The value obtained for the formation energy from the elements is -0.507 eV/atom. The calculation puts the magnetization at 0.000 μB per formula unit.

Unit cell a=5.3929 b=5.3929 c=13.0954 alpha=90.00 beta=90.00 gamma=120.00
Space group R-3m (No. 166, hexagonal axes)
Asymmetric unit:
1 Tm 0.0000 0.0000 0.1276 (multiplicity 6)
2 Ga 0.0000 0.5000 0.0000 (multiplicity 9)
3 Os 0.0000 0.0000 0.5000 (multiplicity 3)

Material: Tm2GaOs
Method: DFT, PBE-GGA
State: relaxed

The distance to the lowest polymorph of the same formula is 0 meV per atom. Its total energy is -0.461 Ry/atom. The value obtained for the formation energy from the elements is -0.474 eV/atom. The calculation puts the magnetization at 0.000 μB per formula unit.

Unit cell a=3.438 b=3.438 c=6.940 alpha=90.00 beta=90.00 gamma=90.00
Space group P4/mmm (No. 123)
Asymmetric unit:
1 Tm 0.000 0.000 0.234 (multiplicity 2)
2 Ga 0.500 0.500 0.500 (multiplicity 1)
3 Os 0.500 0.500 0.000 (multiplicity 1)

Material: Tm2GaOs
Method: DFT, PBE-GGA
State: relaxed

The distance to the lowest polymorph of the same formula is 650 meV per atom. Its total energy is -0.413 Ry/atom. The value obtained for the formation energy from the elements is 0.176 eV/atom. The calculation puts the magnetization at 0.000 μB per formula unit.

Unit cell a=3.3405 b=3.3405 c=30.2395 alpha=90.00 beta=90.00 gamma=120.00
Space group R-3m (No. 166, hexagonal axes)
Asymmetric unit:
1 Tm 0.0000 0.0000 0.0996 (multiplicity 6)
2 Ga 0.0000 0.0000 0.0000 (multiplicity 3)
3 Os 0.0000 0.0000 0.5000 (multiplicity 3)

Material: Tm4GaOs
Method: DFT, PBE-GGA
State: relaxed

Its total energy is -0.422 Ry/atom. The value obtained for the formation energy from the elements is -0.388 eV/atom. The calculation puts the magnetization at 0.000 μB per formula unit.

Unit cell a=8.811 b=13.006 c=6.100 alpha=90.00 beta=118.61 gamma=90.00
Space group C2/c (No. 15)
Asymmetric unit:
1 Tm 0.118 0.173 0.081 (multiplicity 8)
2 Tm 0.212 0.433 0.306 (multiplicity 8)
3 Ga 0.000 0.368 0.750 (multiplicity 4)
4 Os 0.000 0.000 0.250 (multiplicity 4)

Material: Tm7Ga2Os2
Method: DFT, PBE-GGA
State: relaxed

Its total energy is -0.417 Ry/atom. The value obtained for the formation energy from the elements is -0.239 eV/atom. The calculation puts the magnetization at 0.000 μB per formula unit.

Unit cell a=7.760 b=10.609 c=6.932 alpha=90.00 beta=90.00 gamma=90.00
Space group Cmmm (No. 65)
Asymmetric unit:
1 Tm 0.000 0.000 0.000 (multiplicity 2)
2 Tm 0.000 0.500 0.252 (multiplicity 4)
3 Tm 0.250 0.250 0.260 (multiplicity 8)
4 Ga 0.168 0.000 0.500 (multiplicity 4)
5 Os 0.000 0.296 0.000 (multiplicity 4)

Material: Tm6Ga2Os
Method: DFT, PBE-GGA
State: relaxed

The distance to the lowest polymorph of the same formula is 0 meV per atom. Its total energy is -0.387 Ry/atom. The value obtained for the formation energy from the elements is -0.368 eV/atom. The calculation puts the magnetization at 0.000 μB per formula unit.

Unit cell a=9.452 b=9.475 c=9.733 alpha=90.00 beta=90.00 gamma=90.00
Space group Immm (No. 71)
Asymmetric unit:
1 Tm 0.000 0.173 0.249 (multiplicity 8)
2 Tm 0.171 0.500 0.278 (multiplicity 8)
3 Tm 0.235 0.314 0.000 (multiplicity 8)
4 Ga 0.000 0.359 0.500 (multiplicity 4)
5 Ga 0.131 0.000 0.000 (multiplicity 4)
6 Os 0.000 0.000 0.500 (multiplicity 2)
7 Os 0.000 0.500 0.000 (multiplicity 2)

Material: Tm2Ga6Os
Method: DFT, PBE-GGA
State: relaxed

Its total energy is -0.344 Ry/atom. The value obtained for the formation energy from the elements is -0.420 eV/atom. The calculation puts the magnetization at 0.000 μB per formula unit.

Unit cell a=9.748 b=5.694 c=5.926 alpha=90.00 beta=91.15 gamma=90.00
Space group C2/m (No. 12)
Asymmetric unit:
1 Tm 0.169 0.000 0.128 (multiplicity 4)
2 Ga 0.084 0.239 0.679 (multiplicity 8)
3 Ga 0.176 0.500 0.328 (multiplicity 4)
4 Os 0.000 0.500 0.000 (multiplicity 2)

Material: Tm2Ga8Os
Method: DFT, PBE-GGA
State: relaxed

Its total energy is -0.328 Ry/atom. The value obtained for the formation energy from the elements is -0.424 eV/atom. The calculation puts the magnetization at 0.000 μB per formula unit.

Unit cell a=4.281 b=4.281 c=11.162 alpha=90.00 beta=90.00 gamma=90.00
Space group P4/mmm (No. 123)
Asymmetric unit:
1 Tm 0.000 0.000 0.192 (multiplicity 2)
2 Ga 0.000 0.500 0.000 (multiplicity 2)
3 Ga 0.000 0.500 0.377 (multiplicity 4)
4 Ga 0.500 0.500 0.191 (multiplicity 2)
5 Os 0.000 0.000 0.500 (multiplicity 1)